First-principles (PBE-GGA) data for crystalline LaReCl2 at its relaxed geometry, as listed in the Alexandria database.

Results
Energy relative to the elements, uncorrected in eV per atom: 0.07

Cell: 3.3766 3.3766 10.3291 Å, 90.00 90.00 89.96°
Site moments in Bohr magnetons follow the coordinates.
Sites, in units of the cell vectors:
Re (0.5000, 0.5000, 0.7500)  3.31
Cl (0.0000, 0.0000, 0.0845)  0.01
Cl (0.0000, 0.0000, 0.4155)  0.01
La (0.5000, 0.5000, 0.2500)  -0.03